Computed, not measured: Na2MgV2O6 after structural relaxation at the PBE with a Hubbard U level of DFT.

For the electronic total energy, the calculation gives -6.5005 eV/atom. The crystal system is trigonal.

The structure belongs to space group P-31m (No. 162); the cell edges are 5.1802, 5.1802 and 5.7166 Å and the angles 90.00°, 90.00° and 120.00°. The distinct sites, in fractional coordinates, are Na at (0.3333, 0.6667, 0.0000), Mg at (0.0000, 0.0000, 0.5000), V at (0.3333, 0.6667, 0.5000) and O at (0.0000, 0.3564, 0.3157).

***

Computed, not measured: NaMgV2O6 after structural relaxation at the PBE with a Hubbard U level of DFT.

For the electronic total energy, the calculation gives -6.8126 eV/atom. For the density of states at the Fermi level, the calculation gives 0.15 states/eV per atom. The crystal system is monoclinic.

The structure belongs to space group C2/c (No. 15); the cell edges are 10.596, 10.622 and 5.912 Å and the angles 90.00°, 113.03° and 90.00°. The distinct sites, in fractional coordinates, are Na at (0.000, 0.112, 0.250), Mg at (0.000, 0.215, 0.750), V at (0.195, 0.414, 0.203), O at (0.104, 0.277, 0.084), O at (0.128, 0.100, 0.679) and O at (0.151, 0.474, 0.453).